Entry 1:
Entry from Alexandria: an optimized crystal structure of LiVBi3 (PBE-GGA).

Lattice parameters (Å, degrees): 5.3433 5.3433 5.3433 90.00 90.00 90.00
Fractional positions:
Bi1 0.5000 0.0000 0.0000
Bi2 0.0000 0.5000 0.0000
Bi3 0.0000 0.0000 0.5000
V1 0.0000 0.0000 0.0000
Li1 0.5000 0.5000 0.5000

Output
Space-group type: No. 221
Energy of formation from the pure elements (eV per atom): 0.27
Total magnetic moment (μB per cell): 0.000

---

Entry 2:
Entry from Alexandria: an optimized crystal structure of LiVBi2 (PBE-GGA).

Lattice parameters (Å, degrees): 5.0507 5.0507 5.0507 60.00 60.00 60.00
Each line ends with the local moment (μB).
Fractional positions:
Bi1 0.7500 0.7500 0.7500  -0.02
Bi2 0.2500 0.2500 0.2500  -0.02
V1 0.5000 0.5000 0.5000  2.65
Li1 0.0000 0.0000 0.0000  -0.02

Output
Space-group type: No. 225
Energy of formation from the pure elements (eV per atom): 0.05
Total magnetic moment (μB per cell): 3.166

---

Entry 3:
Entry from Alexandria: an optimized crystal structure of Li2VBi2 (PBE-GGA).

Lattice parameters (Å, degrees): 7.3546 7.3546 4.4251 90.00 90.00 90.00
Each line ends with the local moment (μB).
Fractional positions:
Bi1 0.1497 0.3503 0.0000  -0.04
Bi2 0.3503 0.8503 0.0000  -0.04
Bi3 0.8503 0.6497 0.0000  -0.04
Bi4 0.6497 0.1497 0.0000  -0.04
Li1 0.8443 0.3443 0.5000  0.01
Li2 0.3443 0.1557 0.5000  0.01
Li3 0.1557 0.6557 0.5000  0.01
Li4 0.6557 0.8443 0.5000  0.01
V1 0.0000 0.0000 0.0000  2.54
V2 0.5000 0.5000 0.0000  2.54

Output
Space-group type: No. 127
Energy of formation from the pure elements (eV per atom): 0.00
Total magnetic moment (μB per cell): 6.283

---

Entry 4:
Entry from Alexandria: an optimized crystal structure of LiBiW3 (PBE-GGA).

Lattice parameters (Å, degrees): 4.4009 4.4009 4.4009 90.00 90.00 90.00
Fractional positions:
W1 0.0000 0.0000 0.5000
W2 0.5000 0.0000 0.0000
W3 0.0000 0.5000 0.0000
Li1 0.0000 0.0000 0.0000
Bi1 0.5000 0.5000 0.5000

Output
Space-group type: No. 221
Energy of formation from the pure elements (eV per atom): 1.70
Total magnetic moment (μB per cell): 0.000

---

Entry 5:
Entry from Alexandria: an optimized crystal structure of LiBiW3 (PBE-GGA).

Lattice parameters (Å, degrees): 5.0711 5.0711 5.0711 90.00 90.00 90.00
Fractional positions:
Li1 0.5000 0.5000 0.5000
W1 0.0000 0.0000 0.5000
W2 0.5000 0.0000 0.0000
W3 0.0000 0.5000 0.0000
Bi1 0.0000 0.0000 0.0000

Output
Space-group type: No. 221
Energy of formation from the pure elements (eV per atom): 3.02
Total magnetic moment (μB per cell): 0.000

---

Entry 6:
Entry from Alexandria: an optimized crystal structure of LiBi3W (PBE-GGA).

Lattice parameters (Å, degrees): 5.0787 5.0787 5.0787 90.00 90.00 90.00
Each line ends with the local moment (μB).
Fractional positions:
Bi1 0.0000 0.0000 0.5000  -0.06
Bi2 0.0000 0.5000 0.0000  -0.10
Bi3 0.5000 0.0000 0.0000  -0.12
W1 0.5000 0.5000 0.5000  2.70
Li1 0.0000 0.0000 0.0000  0.03

Output
Space-group type: No. 221
Energy of formation from the pure elements (eV per atom): 1.13
Total magnetic moment (μB per cell): 3.296

---

Entry 7:
Entry from Alexandria: an optimized crystal structure of LiBi3W (PBE-GGA).

Lattice parameters (Å, degrees): 5.4743 5.4743 5.4743 90.00 90.00 90.00
Fractional positions:
Li1 0.5000 0.5000 0.5000
Bi1 0.5000 0.0000 0.0000
Bi2 0.0000 0.5000 0.0000
Bi3 0.0000 0.0000 0.5000
W1 0.0000 0.0000 0.0000

Output
Space-group type: No. 221
Energy of formation from the pure elements (eV per atom): 0.66
Total magnetic moment (μB per cell): 0.000

---

Entry 8:
Entry from Alexandria: an optimized crystal structure of Li3BiW (PBE-GGA).

Lattice parameters (Å, degrees): 4.9779 4.9779 4.9779 90.00 90.00 90.00
Each line ends with the local moment (μB).
Fractional positions:
Li1 0.0000 0.0000 0.5000  0.03
Li2 0.5000 0.0000 0.0000  0.04
Li3 0.0000 0.5000 0.0000  0.04
W1 0.0000 0.0000 0.0000  2.98
Bi1 0.5000 0.5000 0.5000  -0.26

Output
Space-group type: No. 221
Energy of formation from the pure elements (eV per atom): 1.23
Total magnetic moment (μB per cell): 4.008

---

Entry 9:
Entry from Alexandria: an optimized crystal structure of Li2BiW (PBE-GGA).

Lattice parameters (Å, degrees): 7.4493 7.4493 5.9253 51.05 51.05 90.00
Fractional positions:
Li1 0.3750 0.3756 0.7500
Li2 0.6244 0.1250 0.2500
Li3 0.8750 0.8744 0.7500
Li4 0.1256 0.6250 0.2500
Bi1 0.7500 0.2500 0.5000
Bi2 0.0000 0.0000 0.0000
W1 0.5000 0.5000 0.0000
W2 0.2500 0.7500 0.5000

Output
Space-group type: No. 122
Energy of formation from the pure elements (eV per atom): 0.83
Total magnetic moment (μB per cell): 0.000

---

Entry 10:
Entry from Alexandria: an optimized crystal structure of LiBiW2 (PBE-GGA).

Lattice parameters (Å, degrees): 3.8215 3.8215 10.6555 79.67 79.67 90.00
Fractional positions:
W1 0.1491 0.6250 0.2500
W2 0.6009 0.1250 0.2500
W3 0.3750 0.3991 0.7500
W4 0.8750 0.8509 0.7500
Bi1 0.0000 0.0000 0.0000
Bi2 0.7500 0.2500 0.5000
Li1 0.2500 0.7500 0.5000
Li2 0.5000 0.5000 0.0000

Output
Space-group type: No. 122
Energy of formation from the pure elements (eV per atom): 0.85
Total magnetic moment (μB per cell): 0.000

---

Entry 11:
Entry from Alexandria: an optimized crystal structure of LiYBi3 (PBE-GGA).

Lattice parameters (Å, degrees): 5.2346 5.2346 5.2346 90.00 90.00 90.00
Fractional positions:
Bi1 0.0000 0.0000 0.5000
Bi2 0.5000 0.0000 0.0000
Bi3 0.0000 0.5000 0.0000
Y1 0.5000 0.5000 0.5000
Li1 0.0000 0.0000 0.0000

Output
Space-group type: No. 221
Energy of formation from the pure elements (eV per atom): -0.08
Total magnetic moment (μB per cell): 0.000

---

Entry 12:
Entry from Alexandria: an optimized crystal structure of Li2Y2Bi (PBE-GGA).

Lattice parameters (Å, degrees): 7.2202 7.2202 4.6826 90.00 90.00 90.00
Each line ends with the local moment (μB).
Fractional positions:
Y1 0.8292 0.3292 0.5000  0.19
Y2 0.1708 0.6708 0.5000  0.19
Y3 0.3292 0.1708 0.5000  0.19
Y4 0.6708 0.8292 0.5000  0.19
Li1 0.3693 0.8693 0.0000  0.04
Li2 0.6307 0.1307 0.0000  0.04
Li3 0.8693 0.6307 0.0000  0.04
Li4 0.1307 0.3693 0.0000  0.04
Bi1 0.0000 0.0000 0.0000  -0.01
Bi2 0.5000 0.5000 0.0000  -0.01

Output
Space-group type: No. 127
Energy of formation from the pure elements (eV per atom): -0.28
Total magnetic moment (μB per cell): 2.002

---

Which value of energy of formation from the pure elements does entry 10 give?
0.85 eV per atom

---

What is the formula in the fifth record?
LiBiW3

---

What is the energy of formation from the pure elements in the twelfth record?
-0.28 eV per atom